(1)
DFT (PBE-GGA) results for a relaxed structure of TmHf3Sc2N6.

As for the energy: -119.53 eV per cell. As for the spin magnetization: 0.00 μB per formula unit. The calculation puts the raw formation energy at -1.882 eV per atom.

abc: 5.5907 5.5907 5.6148
angles: 99.59 99.59 119.91
Closest atoms and distances in Å follow each position.
Element x y z (fractional)
1 Tm 0.0000 0.0000 0.0000  6 N 2.34
2 Hf 0.1675 0.8325 0.5000  6 N 2.22-2.27
3 Hf 0.5000 0.5000 0.5000  6 N 2.24-2.27
4 Hf 0.8325 0.1675 0.5000  6 N 2.22-2.27
5 Sc 0.3335 0.6665 0.0000  6 N 2.30-2.31
6 Sc 0.6665 0.3335 0.0000  6 N 2.30-2.31
7 N 0.0867 0.4253 0.2606  3 Hf 2.22-2.27, 2 Sc 2.31, 1 Tm 2.34
8 N 0.2519 0.2519 0.7404  3 Hf 2.24-2.27, 2 Sc 2.30, 1 Tm 2.34
9 N 0.4253 0.0867 0.2606  3 Hf 2.22-2.27, 2 Sc 2.31, 1 Tm 2.34
10 N 0.5747 0.9133 0.7394  3 Hf 2.22-2.27, 2 Sc 2.31, 1 Tm 2.34
11 N 0.7481 0.7481 0.2596  3 Hf 2.24-2.27, 2 Sc 2.30, 1 Tm 2.34
12 N 0.9133 0.5747 0.7394  3 Hf 2.22-2.27, 2 Sc 2.31, 1 Tm 2.34

(2)
DFT (PBE-GGA) results for a relaxed structure of Hf3Sc2UN6.

As for the energy: -125.15 eV per cell. As for the spin magnetization: 0.00 μB per formula unit. The calculation puts the raw formation energy at -1.782 eV per atom.

abc: 5.6218 5.6218 5.6110
angles: 99.48 99.48 120.09
Closest atoms and distances in Å follow each position.
Element x y z (fractional)
1 Hf 0.0000 0.0000 0.0000  6 N 2.28
2 Hf 0.3286 0.6714 0.0000  6 N 2.25-2.31
3 Hf 0.6714 0.3286 0.0000  6 N 2.25-2.31
4 Sc 0.1678 0.8322 0.5000  6 N 2.30-2.32
5 Sc 0.8322 0.1678 0.5000  6 N 2.30-2.32
6 U 0.5000 0.5000 0.5000  6 N 2.29-2.31
7 N 0.0816 0.4153 0.2448  3 Hf 2.25-2.28, 2 Sc 2.30-2.31, 1 U 2.31
8 N 0.2529 0.2529 0.7537  3 Hf 2.28-2.31, 1 U 2.29, 2 Sc 2.32
9 N 0.4153 0.0816 0.2448  3 Hf 2.25-2.28, 2 Sc 2.30-2.31, 1 U 2.31
10 N 0.5847 0.9184 0.7552  3 Hf 2.25-2.28, 2 Sc 2.30-2.31, 1 U 2.31
11 N 0.7471 0.7471 0.2463  3 Hf 2.28-2.31, 1 U 2.29, 2 Sc 2.32
12 N 0.9184 0.5847 0.7552  3 Hf 2.25-2.28, 2 Sc 2.30-2.31, 1 U 2.31

(3)
DFT (PBE-GGA) results for a relaxed structure of HfScU2N4.

As for the energy: -84.85 eV per cell. As for the spin magnetization: 3.01 μB per formula unit. The calculation puts the raw formation energy at -1.586 eV per atom.

abc: 5.6698 3.2679 5.8976
angles: 90.00 108.62 90.00
Closest atoms and distances in Å follow each position.
Element x y z (fractional)
1 Hf 0.0000 0.0000 0.0000  6 N 2.27
2 Sc 0.5000 0.5000 0.0000  6 N 2.29
3 U 0.0000 0.5000 0.5000  6 N 2.41-2.42
4 U 0.5000 0.0000 0.5000  6 N 2.43
5 N 0.2396 0.5000 0.2270  2 Hf 2.27, 1 Sc 2.29, 3 U 2.42-2.43
6 N 0.2532 0.0000 0.7697  1 Hf 2.27, 2 Sc 2.29, 3 U 2.41-2.43
7 N 0.7468 0.0000 0.2303  1 Hf 2.27, 2 Sc 2.29, 3 U 2.41-2.43
8 N 0.7604 0.5000 0.7730  2 Hf 2.27, 1 Sc 2.29, 3 U 2.42-2.43

(4)
DFT (PBE-GGA) results for a relaxed structure of HfSc2UN4.

As for the energy: -81.02 eV per cell. As for the spin magnetization: 0.60 μB per formula unit. The calculation puts the raw formation energy at -1.727 eV per atom.

abc: 5.6470 3.2544 5.6718
angles: 90.00 109.14 90.00
Closest atoms and distances in Å follow each position.
Element x y z (fractional)
1 Hf 0.0000 0.0000 0.0000  6 N 2.29
2 Sc 0.5000 0.0000 0.5000  6 N 2.33
3 Sc 0.5000 0.5000 0.0000  6 N 2.28-2.32
4 U 0.0000 0.5000 0.5000  6 N 2.29-2.34
5 N 0.2435 0.5000 0.2462  2 Hf 2.29, 1 U 2.29, 3 Sc 2.32-2.33
6 N 0.2544 0.0000 0.7590  3 Sc 2.28-2.33, 1 Hf 2.29, 2 U 2.34
7 N 0.7456 0.0000 0.2410  3 Sc 2.28-2.33, 1 Hf 2.29, 2 U 2.34
8 N 0.7565 0.5000 0.7538  2 Hf 2.29, 1 U 2.29, 3 Sc 2.32-2.33

- spin magnetization of number 3 (HfScU2N4)?
  3.01 μB per formula unit

- What is the energy in the first record?
  -119.53 eV per cell

- Which of these has the highest spin magnetization?
  HfScU2N4

- Which formula does entry 1 have?
  TmHf3Sc2N6